Record 1
The following is a PBE calculation of a relaxed structure of Na3In12Ag, from Alexandria.

```
16
Lattice="4.6899 0.0000 0.0000 0.0000 4.6899 0.0000 0.0000 0.0000 18.7084" Properties=species:S:1:pos:R:3 pbc="T T T"
Na 0.0000 0.0000 0.0000
Na 0.0000 0.0000 4.7523
Na 0.0000 0.0000 13.9561
In 0.0000 2.3450 2.3651
In 0.0000 2.3450 7.1655
In 0.0000 2.3450 11.5429
In 0.0000 2.3450 16.3433
In 2.3450 0.0000 2.3651
In 2.3450 0.0000 7.1655
In 2.3450 0.0000 11.5429
In 2.3450 0.0000 16.3433
In 2.3450 2.3450 0.0000
In 2.3450 2.3450 4.7160
In 2.3450 2.3450 9.3542
In 2.3450 2.3450 13.9924
Ag 0.0000 0.0000 9.3542
```

Energy in eV per atom: -2.533


Record 2
The following is a PBE calculation of a relaxed structure of Ba2TlTePd, from Alexandria.

```
5
Lattice="6.1124 0.0000 0.0000 0.0000 6.1124 0.0000 0.0000 0.0000 5.2075" Properties=species:S:1:pos:R:3 pbc="T T T"
Ba 0.0000 3.0562 0.0000
Ba 3.0562 0.0000 0.0000
Tl 0.0000 0.0000 2.6037
Te 3.0562 3.0562 2.6037
Pd 0.0000 0.0000 0.0000
```

E_form (uncorrected) in eV/atom: -0.77
Energy in eV per atom: -3.677